[1]
An optimized crystal structure of LiSmPt2, computed with PBE-GGA.

Unit cell a=4.383 b=4.383 c=5.295 alpha=65.55 beta=65.55 gamma=60.00
Element x y z (fractional)
Sm 0.000 0.000 0.000
Pt 0.782 0.782 0.654
Pt 0.218 0.218 0.346
Li 0.500 0.500 0.500

Results
Mass density   11.75 g/cm3
D(E_F)   1.060 states/eV per cell
Space group   R-3m
Electronic total energy   -5.534 eV per atom



[2]
An optimized crystal structure of LiSmPt2, computed with PBE-GGA.

Unit cell a=3.983 b=4.280 c=4.280 alpha=90.00 beta=90.00 gamma=90.00
Element x y z (fractional)
Sm 0.500 0.500 0.500
Pt 0.000 0.000 0.500
Pt 0.000 0.500 0.000
Li 0.500 0.000 0.000

Results
Mass density   12.46 g/cm3
D(E_F)   1.229 states/eV per cell
Space group   P4/mmm
Electronic total energy   -5.534 eV per atom